[1]
Compound: NaYTe2
Source: Alexandria
Functional: PBE
Structure: relaxed

Summary:
Magnetic moment ... 0.00 μB per formula unit
SG ... Pmmn
Calculated density ... 4.722 g cm⁻³
Uncorrected formation energy ... -1.303 eV per atom
DFT total energy ... -38.553 eV per cell

Structure (CIF):
```
data_NaYTe2
_cell_length_a 4.4074
_cell_length_b 11.2669
_cell_length_c 9.3731
_cell_angle_alpha 33.69
_cell_angle_beta 90.00
_cell_angle_gamma 90.00
_symmetry_space_group_name_H-M 'P 1'
_symmetry_Int_Tables_number 1
loop_
_symmetry_equiv_pos_as_xyz
'x,y,z'
loop_
_atom_site_label
_atom_site_type_symbol
_atom_site_fract_x
_atom_site_fract_y
_atom_site_fract_z
Y1 Y 0.8301 0.4443 0.9932
Y2 Y 0.3301 0.9443 0.2289
Na1 Na 0.3297 0.9443 0.7509
Na2 Na 0.8297 0.4443 0.4714
Te1 Te 0.8301 0.9443 0.0070
Te2 Te 0.3301 0.4443 0.7537
Te3 Te 0.8301 0.9442 0.4683
Te4 Te 0.3301 0.4442 0.2150
```

=====

[2]
Compound: NbRh
Source: Alexandria
Functional: PBE
Structure: relaxed

Summary:
Magnetic moment ... 0.00 μB per formula unit
SG ... P6_3/m
Calculated density ... 9.050 g cm⁻³
DFT total energy ... -103.679 eV per cell

Structure (CIF):
```
data_NbRh
_cell_length_a 7.4290
_cell_length_b 7.4291
_cell_length_c 4.5104
_cell_angle_alpha 90.00
_cell_angle_beta 90.00
_cell_angle_gamma 120.00
_symmetry_space_group_name_H-M 'P 1'
_symmetry_Int_Tables_number 1
loop_
_symmetry_equiv_pos_as_xyz
'x,y,z'
loop_
_atom_site_label
_atom_site_type_symbol
_atom_site_fract_x
_atom_site_fract_y
_atom_site_fract_z
Nb1 Nb 0.6356 0.0854 0.2500
Nb2 Nb 0.5502 0.6356 0.7500
Nb3 Nb 0.9146 0.5502 0.2500
Nb4 Nb 0.3644 0.9146 0.7500
Nb5 Nb 0.4498 0.3644 0.2500
Nb6 Nb 0.0854 0.4498 0.7500
Rh1 Rh 0.0455 0.2472 0.2500
Rh2 Rh 0.7983 0.0455 0.7500
Rh3 Rh 0.7528 0.7983 0.2500
Rh4 Rh 0.9545 0.7528 0.7500
Rh5 Rh 0.2017 0.9545 0.2500
Rh6 Rh 0.2472 0.2017 0.7500
```